# 1
A plane-wave DFT calculation with PBE-GGA was carried out for a relaxed Tl3PbCl crystal.

## Properties
Its relative energy among the computed polymorphs is 0 meV/atom. As for the energy: -2.54 eV/atom. Its density is 7.338 Mg/m³. Its formation energy without anion corrections is -0.004 eV per atom.

a = 5.7856 Å, b = 5.7856 Å, c = 5.7856 Å
α = 90.00°, β = 90.00°, γ = 90.00°
Space group Pm-3m (No. 221)
Inequivalent atoms, fractional coordinates:
Tl (0.0000, 0.0000, 0.5000) x3
Pb (0.5000, 0.5000, 0.5000) x1
Cl (0.0000, 0.0000, 0.0000) x1



# 2
A plane-wave DFT calculation with PBE-GGA was carried out for a relaxed Sr3PdI crystal.

## Properties
Its relative energy among the computed polymorphs is 145 meV/atom. As for the energy: -2.95 eV/atom. Its density is 3.783 Mg/m³. Its formation energy without anion corrections is -0.588 eV per atom.

a = 6.0165 Å, b = 6.0165 Å, c = 6.0165 Å
α = 90.00°, β = 90.00°, γ = 90.00°
Space group Pm-3m (No. 221)
Inequivalent atoms, fractional coordinates:
Sr (0.0000, 0.0000, 0.5000) x3
Pd (0.0000, 0.0000, 0.0000) x1
I (0.5000, 0.5000, 0.5000) x1



# 3
A plane-wave DFT calculation with PBE-GGA was carried out for a relaxed LiMg8In2 crystal.

## Properties
The value obtained for the formation energy is 4 meV per atom. Its relative energy among the computed polymorphs is 0 meV/atom. As for the energy: -1.83 eV/atom. Its density is 2.801 Mg/m³.

a = 4.8564 Å, b = 4.8564 Å, c = 10.8347 Å
α = 90.00°, β = 90.00°, γ = 90.00°
Space group P4/mmm (No. 123)
Inequivalent atoms, fractional coordinates:
Li (0.0000, 0.0000, 0.0000) x1
Mg (0.0000, 0.5000, 0.1422) x4
Mg (0.0000, 0.5000, 0.5000) x2
Mg (0.5000, 0.5000, 0.3261) x2
In (0.0000, 0.0000, 0.3155) x2



# 4
A plane-wave DFT calculation with PBE-GGA was carried out for a relaxed La8PrGa2 crystal.

## Properties
The value obtained for the formation energy is -172 meV per atom. Its relative energy among the computed polymorphs is 0 meV/atom. As for the energy: -4.74 eV/atom. Its density is 6.313 Mg/m³.

a = 17.5618 Å, b = 5.3248 Å, c = 8.5089 Å
α = 90.00°, β = 113.07°, γ = 90.00°
Space group C2/m (No. 12)
Inequivalent atoms, fractional coordinates:
La (0.0510, 0.0000, 0.2352) x4
La (0.1199, 0.5000, 0.9758) x4
La (0.1544, 0.0000, 0.7268) x4
La (0.1876, 0.5000, 0.4541) x4
Pr (0.0000, 0.5000, 0.5000) x2
Ga (0.2184, 0.0000, 0.1506) x4